Entry from Alexandria: a relaxed structure of Sb2IrRh (PBE).

a = 3.7238 Å, b = 3.7238 Å, c = 5.4414 Å
α = 90.00°, β = 90.00°, γ = 90.00°
Space group P4mm (No. 99)
Symmetry-distinct sites (fractional):
Sb 0.0000 0.0000 0.0000 x1
Sb 0.5000 0.5000 0.3754 x1
Ir 0.0000 0.0000 0.5122 x1
Rh 0.5000 0.5000 0.8641 x1

Summary:
Formation energy from raw total energies ... -0.20 eV/atom

=====

Entry from Alexandria: a relaxed structure of CrCoPtI2 (PBE).

a = 5.1846 Å, b = 5.1846 Å, c = 4.4492 Å
α = 90.00°, β = 90.00°, γ = 90.00°
Space group P4/mmm (No. 123)
Symmetry-distinct sites (fractional):
Cr 0.0000 0.0000 0.0000 x1
Co 0.0000 0.0000 0.5000 x1
Pt 0.5000 0.5000 0.5000 x1
I 0.0000 0.5000 0.0000 x2

Summary:
Formation energy from raw total energies ... 1.27 eV/atom

=====

| no. | DOS at the Fermi energy (states/eV per atom) |
| --- | --- |
| 1 | 0.184 |
| 2 | 1.098 |